SbAsP2: relaxed, GGA-PBE.

abc: 5.3065 5.3065 5.3065
angles: 141.05 122.58 71.57
Fractional coordinates of all 4 atoms:
Sb 0.7500 0.2500 0.5000
P 0.0377 0.0377 0.0000
P 0.4623 0.4623 0.0000
As 0.2500 0.7500 0.5000

Output
Magnetic moment ... 0.0 Bohr magnetons per cell
VASP energy ... -17.35 eV per cell
Formation energy without anion corrections ... 54.0 kJ/mol of atoms